Material: Ac2VSi5
Method: DFT, PBE-GGA
State: relaxed

Structure (extended XYZ):
```
8
Lattice="6.400 -0.211 -0.301 -3.335 5.467 0.301 -3.335 -1.577 5.243" Properties=species:S:1:pos:R:3 pbc="T T T"
Ac -0.029 0.017 3.769
Ac -0.029 3.538 1.298
V -0.172 0.100 0.143
Si -1.953 2.606 3.714
Si -3.230 3.351 1.655
Si -3.230 0.417 3.714
Si 1.894 0.950 1.354
Si -1.942 1.133 1.614
```

Properties
Formation energy (no corrections) (eV/atom): -0.37
Uncorrected energy (eV/cell): -47.39
Volume (Å³/cell): 176
Size of the total moment (μB per atom): 0.00



Material: AcSi2W
Method: DFT, PBE-GGA
State: relaxed

Structure (extended XYZ):
```
4
Lattice="-1.782 1.344 -3.665 -3.559 -1.889 -1.474 -4.857 3.418 1.104" Properties=species:S:1:pos:R:3 pbc="T T T"
Ac -5.100 1.436 -2.017
Si -8.048 2.621 -2.661
Si -2.151 0.252 -1.374
W 0.000 0.000 0.000
```

Properties
Formation energy (no corrections) (eV/atom): -0.16
Uncorrected energy (eV/cell): -28.54
Volume (Å³/cell): 88
Size of the total moment (μB per atom): 0.00



Material: AcSiW
Method: DFT, PBE-GGA
State: relaxed

Structure (extended XYZ):
```
6
Lattice="-3.338 2.930 0.223 0.904 -2.719 4.923 4.928 5.908 -3.876" Properties=species:S:1:pos:R:3 pbc="T T T"
Si 3.803 4.502 -2.241
Si -1.309 1.617 3.509
Ac 1.182 1.240 1.410
Ac 1.312 4.880 -0.141
W -0.344 -0.694 3.977
W 2.839 6.814 -2.708
```

Properties
Formation energy (no corrections) (eV/atom): -0.06
Uncorrected energy (eV/cell): -45.31
Volume (Å³/cell): 147
Size of the total moment (μB per atom): 0.00



Which of these has the highest volume? Ac2VSi5



What is the formula in the first record? Ac2VSi5



What did the second record say?
Material: AcSi2W
Method: DFT, PBE-GGA
State: relaxed

Structure (extended XYZ):
```
4
Lattice="-1.782 1.344 -3.665 -3.559 -1.889 -1.474 -4.857 3.418 1.104" Properties=species:S:1:pos:R:3 pbc="T T T"
Ac -5.100 1.436 -2.017
Si -8.048 2.621 -2.661
Si -2.151 0.252 -1.374
W 0.000 0.000 0.000
```

Properties
Formation energy (no corrections) (eV/atom): -0.16
Uncorrected energy (eV/cell): -28.54
Volume (Å³/cell): 88
Size of the total moment (μB per atom): 0.00